[1]
{"formula": "POsSe", "functional": "PBE-GGA", "state": "optimized geometry", "space_group": "Cm (8)", "n_ef_per_ev_fu": 1.09, "magmom_total_mub_per_cell": 0.00, "raw_formation_energy_ev_per_atom": 0.14, "lattice_angstrom": [[-1.4990, 1.5041, 6.0318], [1.4990, -1.4936, 6.0292], [1.4990, 1.4936, -6.0292]], "species": ["Se", "P", "Os"], "frac_coords": [[0.3356, 0.3356, 0.0000], [0.5419, 0.5417, 0.0003], [0.1225, 0.1227, 0.9998]]}


[2]
{"formula": "POsSe2", "functional": "PBE-GGA", "state": "optimized geometry", "space_group": "R-3m (166)", "n_ef_per_ev_fu": 3.23, "magmom_total_mub_per_cell": 0.00, "raw_formation_energy_ev_per_atom": 0.52, "lattice_angstrom": [[2.1184, 0.0000, 7.6440], [-1.0592, 1.8346, 7.6440], [-1.0592, -1.8346, 7.6440]], "species": ["Se", "Os", "Se", "P"], "frac_coords": [[0.8906, 0.8906, 0.8906], [0.5000, 0.5000, 0.5000], [0.1094, 0.1094, 0.1094], [0.0000, 0.0000, 0.0000]]}


[3]
{"formula": "POsSe2", "functional": "PBE-GGA", "state": "optimized geometry", "space_group": "Pmm2 (25)", "n_ef_per_ev_fu": 2.41, "magmom_total_mub_per_cell": 0.00, "raw_formation_energy_ev_per_atom": 0.44, "lattice_angstrom": [[3.0066, 0.0000, 0.0000], [0.0000, 3.5914, 0.0000], [0.0000, 0.0000, 7.2141]], "species": ["Se", "P", "Se", "Os"], "frac_coords": [[0.5000, 0.5000, 0.3356], [0.5000, 0.5000, 0.6825], [0.0000, 0.0000, 0.9147], [0.0000, 0.0000, 0.5672]]}


[4]
{"formula": "POsSe", "functional": "PBE-GGA", "state": "optimized geometry", "space_group": "F-43m (216)", "n_ef_per_ev_fu": 2.16, "magmom_total_mub_per_cell": 0.00, "raw_formation_energy_ev_per_atom": 0.07, "lattice_angstrom": [[0.0000, 2.9417, 2.9417], [2.9417, 0.0000, 2.9417], [2.9417, 2.9417, 0.0000]], "species": ["Se", "Os", "P"], "frac_coords": [[0.5000, 0.5000, 0.5000], [0.2500, 0.2500, 0.2500], [0.0000, 0.0000, 0.0000]]}